Here is an optimized crystal structure of EuHoIr2 from the Alexandria database. Energies are from GGA-PBE.

Summary:
- Formation enthalpy at 0 K: -0.483 eV per atom
- Total magnetic moment: 6.63 μB/f.u.

Cell and atoms, written as CIF:
```
data_EuHoIr2
_symmetry_space_group_name_H-M 'P 1'
_symmetry_Int_Tables_number 1
_symmetry_space_group_name_Hall 'P 1'
_cell_length_a 4.885
_cell_length_b 4.885
_cell_length_c 4.885
_cell_angle_alpha 60.00
_cell_angle_beta 60.00
_cell_angle_gamma 60.00
loop_
_atom_site_label
_atom_site_type_symbol
_atom_site_fract_x
_atom_site_fract_y
_atom_site_fract_z
Eu1 Eu 0.000 0.000 0.000
Ho1 Ho 0.500 0.500 0.500
Ir1 Ir 0.250 0.250 0.250
Ir2 Ir 0.750 0.750 0.750
```

---

Here is an optimized crystal structure of Si2NiAu from the Alexandria database. Energies are from GGA-PBE.

Summary:
- Total magnetic moment: 0.00 μB/f.u.
- Formation energy (no corrections): -0.057 eV per atom

Cell and atoms, written as CIF:
```
data_Si2NiAu
_symmetry_space_group_name_H-M 'P 1'
_symmetry_Int_Tables_number 1
_symmetry_space_group_name_Hall 'P 1'
_cell_length_a 5.274
_cell_length_b 5.274
_cell_length_c 5.274
_cell_angle_alpha 42.57
_cell_angle_beta 42.57
_cell_angle_gamma 42.57
loop_
_atom_site_label
_atom_site_type_symbol
_atom_site_fract_x
_atom_site_fract_y
_atom_site_fract_z
Si1 Si 0.000 0.000 0.000
Si2 Si 0.221 0.221 0.221
Ni1 Ni 0.601 0.601 0.601
Au1 Au 0.784 0.784 0.784
```

---

Here is an optimized crystal structure of Ba3Ga4Ge2 from the Alexandria database. Energies are from GGA-PBE.

Summary:
- Formation enthalpy at 0 K: -0.534 eV per atom
- Total magnetic moment: 0.00 μB/f.u.

Cell and atoms, written as CIF:
```
data_Ba3Ga4Ge2
_symmetry_space_group_name_H-M 'P 1'
_symmetry_Int_Tables_number 1
_symmetry_space_group_name_Hall 'P 1'
_cell_length_a 6.759
_cell_length_b 6.759
_cell_length_c 9.179
_cell_angle_alpha 92.69
_cell_angle_beta 92.69
_cell_angle_gamma 38.29
loop_
_atom_site_label
_atom_site_type_symbol
_atom_site_fract_x
_atom_site_fract_y
_atom_site_fract_z
Ba1 Ba 0.000 0.000 0.000
Ba2 Ba 0.330 0.330 0.334
Ba3 Ba 0.670 0.670 0.666
Ga1 Ga 0.055 0.055 0.391
Ga2 Ga 0.272 0.272 0.944
Ga3 Ga 0.728 0.728 0.056
Ga4 Ga 0.945 0.945 0.609
Ge1 Ge 0.390 0.390 0.725
Ge2 Ge 0.610 0.610 0.275
```

---

Here is an optimized crystal structure of PmY2Tl3Te6 from the Alexandria database. Energies are from GGA-PBE.

Summary:
- Total magnetic moment: 0.00 μB/f.u.
- Formation energy (no corrections): -1.070 eV per atom

Cell and atoms, written as CIF:
```
data_PmY2Tl3Te6
_symmetry_space_group_name_H-M 'P 1'
_symmetry_Int_Tables_number 1
_symmetry_space_group_name_Hall 'P 1'
_cell_length_a 7.767
_cell_length_b 7.767
_cell_length_c 8.581
_cell_angle_alpha 98.69
_cell_angle_beta 98.69
_cell_angle_gamma 119.99
loop_
_atom_site_label
_atom_site_type_symbol
_atom_site_fract_x
_atom_site_fract_y
_atom_site_fract_z
Pm1 Pm 0.000 0.000 0.000
Y1 Y 0.333 0.667 0.000
Y2 Y 0.667 0.333 0.000
Tl1 Tl 0.165 0.835 0.500
Tl2 Tl 0.500 0.500 0.500
Tl3 Tl 0.835 0.165 0.500
Te1 Te 0.072 0.411 0.216
Te2 Te 0.268 0.268 0.786
Te3 Te 0.411 0.072 0.216
Te4 Te 0.589 0.928 0.784
Te5 Te 0.732 0.732 0.214
Te6 Te 0.928 0.589 0.784
```

---

Here is an optimized crystal structure of SrTe2Pd from the Alexandria database. Energies are from GGA-PBE.

Summary:
- Total magnetic moment: 0.00 μB/f.u.
- Formation energy (no corrections): -0.346 eV per atom

Cell and atoms, written as CIF:
```
data_SrTe2Pd
_symmetry_space_group_name_H-M 'P 1'
_symmetry_Int_Tables_number 1
_symmetry_space_group_name_Hall 'P 1'
_cell_length_a 9.604
_cell_length_b 9.604
_cell_length_c 9.604
_cell_angle_alpha 24.86
_cell_angle_beta 24.86
_cell_angle_gamma 24.86
loop_
_atom_site_label
_atom_site_type_symbol
_atom_site_fract_x
_atom_site_fract_y
_atom_site_fract_z
Sr1 Sr 0.000 0.000 0.000
Te1 Te 0.117 0.117 0.117
Te2 Te 0.883 0.883 0.883
Pd1 Pd 0.500 0.500 0.500
```

---

Here is an optimized crystal structure of YEr5Tm8 from the Alexandria database. Energies are from GGA-PBE.

Summary:
- Formation enthalpy at 0 K: 0.255 eV per atom
- Total magnetic moment: 0.00 μB/f.u.

Cell and atoms, written as CIF:
```
data_YEr5Tm8
_symmetry_space_group_name_H-M 'P 1'
_symmetry_Int_Tables_number 1
_symmetry_space_group_name_Hall 'P 1'
_cell_length_a 8.321
_cell_length_b 8.321
_cell_length_c 8.321
_cell_angle_alpha 110.95
_cell_angle_beta 110.95
_cell_angle_gamma 106.55
loop_
_atom_site_label
_atom_site_type_symbol
_atom_site_fract_x
_atom_site_fract_y
_atom_site_fract_z
Y1 Y 0.000 0.000 0.000
Er1 Er 0.037 0.439 0.824
Er2 Er 0.250 0.750 0.500
Er3 Er 0.561 0.385 0.598
Er4 Er 0.615 0.213 0.176
Er5 Er 0.787 0.963 0.402
Tm1 Tm 0.092 0.332 0.421
Tm2 Tm 0.275 0.169 0.753
Tm3 Tm 0.328 0.908 0.239
Tm4 Tm 0.416 0.521 0.247
Tm5 Tm 0.479 0.725 0.895
Tm6 Tm 0.668 0.089 0.761
Tm7 Tm 0.831 0.584 0.105
Tm8 Tm 0.911 0.672 0.579
```

---

Here is an optimized crystal structure of Hf2InSO from the Alexandria database. Energies are from GGA-PBE.

Summary:
- Total magnetic moment: 0.00 μB/f.u.
- Formation energy (no corrections): 0.708 eV per atom

Cell and atoms, written as CIF:
```
data_Hf2InSO
_symmetry_space_group_name_H-M 'P 1'
_symmetry_Int_Tables_number 1
_symmetry_space_group_name_Hall 'P 1'
_cell_length_a 5.406
_cell_length_b 5.406
_cell_length_c 3.979
_cell_angle_alpha 90.00
_cell_angle_beta 90.00
_cell_angle_gamma 90.00
loop_
_atom_site_label
_atom_site_type_symbol
_atom_site_fract_x
_atom_site_fract_y
_atom_site_fract_z
Hf1 Hf 0.000 0.500 0.000
Hf2 Hf 0.500 0.000 0.000
In1 In 0.000 0.000 0.000
S1 S 0.500 0.500 0.500
O1 O 0.000 0.000 0.500
```

---

Here is an optimized crystal structure of VSn2Pt2 from the Alexandria database. Energies are from GGA-PBE.

Summary:
- Formation enthalpy at 0 K: 0.094 eV per atom
- Total magnetic moment: 3.04 μB/f.u.

Cell and atoms, written as CIF:
```
data_VSn2Pt2
_symmetry_space_group_name_H-M 'P 1'
_symmetry_Int_Tables_number 1
_symmetry_space_group_name_Hall 'P 1'
_cell_length_a 7.283
_cell_length_b 7.283
_cell_length_c 7.283
_cell_angle_alpha 148.91
_cell_angle_beta 148.91
_cell_angle_gamma 44.55
loop_
_atom_site_label
_atom_site_type_symbol
_atom_site_fract_x
_atom_site_fract_y
_atom_site_fract_z
V1 V 0.000 0.000 0.000
Sn1 Sn 0.390 0.390 0.000
Sn2 Sn 0.610 0.610 0.000
Pt1 Pt 0.250 0.750 0.500
Pt2 Pt 0.750 0.250 0.500
```

---

Q: total magnetic moment of number 1 (EuHoIr2)?
A: 6.63 μB/f.u.